Compound: CeCoAs2O8
Source: Alexandria via LeMat-Bulk
Functional: GGA+U
Structure: relaxed

```
CeCoAs2O8
1.0
-3.742 2.027 3.382
-1.174 -0.673 -5.265
-2.173 -6.124 1.267
O Ce As Co
8 1 2 1
Cartesian
-4.404 -0.024 -0.489 O
-3.787 0.329 2.277 O
-5.269 -4.034 -1.116 O
-1.820 -0.736 0.500 O
-3.302 -5.099 -2.893 O
-3.035 -2.604 -1.797 O
-2.685 -4.746 -0.126 O
-4.054 -2.166 1.181 O
-1.086 -3.062 0.634 Ce
-3.591 -4.173 -1.472 As
-3.498 -0.597 0.856 As
0.000 0.000 0.000 Co
```

Mass density: 4.7 g/cm3
Electronic total energy: -6.589 eV per atom
Total magnetic moment: 3.847 μB/f.u.
SG: No. 164
Volume: 169.44 Å³/f.u.